(1)
The following is a PBE calculation of a geometry-optimized RuAuSe structure, from the Alexandria database.

SG   No. 42
Raw formation energy   401 meV/atom
E above lowest polymorph   295 meV/atom

abc: 7.8981 7.6320 2.9291
angles: 84.29 74.05 21.66
With the nearest neighbours (Å) after each atom.
Fractional coordinates of all 3 atoms:
Ru (0.0000, 0.0000, 0.0000)  2 Se 2.39
Au (0.3402, 0.3402, 0.6598)  2 Ru 2.82, 6 Au 2.93-2.98
Se (0.6245, 0.6245, 0.3755)  2 Ru 2.39


(2)
The following is a PBE calculation of a geometry-optimized RbHgPSe3 structure, from the Alexandria database.

SG   No. 12
Raw formation energy   -443 meV/atom

abc: 7.4140 7.4140 8.4507
angles: 110.76 110.76 68.35
With the nearest neighbours (Å) after each atom.
Fractional coordinates of all 12 atoms:
Rb (0.1892, 0.1892, 0.2214)  7 Se 3.60-3.87
Rb (0.8108, 0.8108, 0.7786)  7 Se 3.60-3.87
Hg (0.1662, 0.8338, 0.5000)  2 Se 2.71, 1 Hg 2.77
Hg (0.8338, 0.1662, 0.5000)  2 Se 2.71, 1 Hg 2.77
P (0.4781, 0.4781, 0.8518)  3 Se 2.19-2.24, 1 P 2.33
P (0.5219, 0.5219, 0.1482)  3 Se 2.19-2.24, 1 P 2.33
Se (0.2038, 0.6450, 0.1692)  1 P 2.24
Se (0.2824, 0.2824, 0.6971)  1 P 2.19
Se (0.3550, 0.7962, 0.8308)  1 P 2.24
Se (0.6450, 0.2038, 0.1692)  1 P 2.24
Se (0.7176, 0.7176, 0.3029)  1 P 2.19
Se (0.7962, 0.3550, 0.8308)  1 P 2.24


(3)
The following is a PBE calculation of a geometry-optimized Y12Zn6Sn structure, from the Alexandria database.

SG   No. 204
ΔH_f (0 K)   -26 kJ/mol of atoms

abc: 8.6972 8.6972 8.6972
angles: 109.47 109.47 109.47
With the nearest neighbours (Å) after each atom.
Fractional coordinates of all 19 atoms:
Y (0.1005, 0.2914, 0.8090)  3 Zn 2.81-3.10
Y (0.1910, 0.4824, 0.2914)  3 Zn 2.81-3.10
Y (0.1910, 0.8995, 0.7086)  3 Zn 2.81-3.10
Y (0.2914, 0.1910, 0.4824)  3 Zn 2.81-3.10
Y (0.2914, 0.8090, 0.1005)  3 Zn 2.81-3.10
Y (0.4824, 0.2914, 0.1910)  3 Zn 2.81-3.10
Y (0.5176, 0.7086, 0.8090)  3 Zn 2.81-3.10
Y (0.7086, 0.1910, 0.8995)  3 Zn 2.81-3.10
Y (0.7086, 0.8090, 0.5176)  3 Zn 2.81-3.10
Y (0.8090, 0.1005, 0.2914)  3 Zn 2.81-3.10
Y (0.8090, 0.5176, 0.7086)  3 Zn 2.81-3.10
Y (0.8995, 0.7086, 0.1910)  3 Zn 2.81-3.10
Zn (0.1233, 0.5000, 0.6233)  1 Zn 2.48
Zn (0.3767, 0.8767, 0.5000)  1 Zn 2.48
Zn (0.5000, 0.3767, 0.8767)  1 Zn 2.48
Zn (0.5000, 0.6233, 0.1233)  1 Zn 2.48
Zn (0.6233, 0.1233, 0.5000)  1 Zn 2.48
Zn (0.8767, 0.5000, 0.3767)  1 Zn 2.48
Sn (0.0000, 0.0000, 0.0000)  12 Y 3.50


(4)
The following is a PBE calculation of a geometry-optimized CoOs3 structure, from the Alexandria database.

SG   No. 65
ΔH_f (0 K)   19 kJ/mol of atoms

abc: 4.6254 4.6254 2.6889
angles: 90.00 90.00 109.62
With the nearest neighbours (Å) after each atom.
Fractional coordinates of all 4 atoms:
Co (0.0000, 0.0000, 0.0000)  10 Os 2.67-2.68, 2 Co 2.69
Os (0.0000, 0.5000, 0.5000)  8 Os 2.67-2.69, 4 Co 2.68
Os (0.5000, 0.0000, 0.5000)  8 Os 2.67-2.69, 4 Co 2.68
Os (0.5000, 0.5000, 0.0000)  2 Co 2.67, 10 Os 2.68-2.69


(5)
The following is a PBE calculation of a geometry-optimized Cu2Pd4Au structure, from the Alexandria database.

SG   No. 122
E above lowest polymorph   60 meV/atom
ΔH_f (0 K)   12 kJ/mol of atoms

abc: 6.6161 6.6161 6.6161
angles: 109.47 109.47 109.47
With the nearest neighbours (Å) after each atom.
Fractional coordinates of all 14 atoms:
Cu (0.0152, 0.6250, 0.8902)  8 Pd 2.54-2.67
Cu (0.3750, 0.2652, 0.3902)  8 Pd 2.54-2.67
Cu (0.7348, 0.1250, 0.1098)  8 Pd 2.54-2.67
Cu (0.8750, 0.9848, 0.6098)  8 Pd 2.54-2.67
Pd (0.0991, 0.3566, 0.5764)  4 Cu 2.54-2.67, 2 Au 2.72-2.74, 2 Pd 2.74-2.75
Pd (0.1066, 0.3491, 0.0764)  4 Cu 2.54-2.67, 2 Au 2.72-2.74, 2 Pd 2.74-2.75
Pd (0.2727, 0.0302, 0.9236)  4 Cu 2.54-2.67, 2 Au 2.72-2.74, 2 Pd 2.74-2.75
Pd (0.4773, 0.9009, 0.2575)  4 Cu 2.54-2.67, 2 Au 2.72-2.74, 2 Pd 2.74-2.75
Pd (0.6434, 0.2198, 0.7425)  4 Cu 2.54-2.67, 2 Au 2.72-2.74, 2 Pd 2.74-2.75
Pd (0.6509, 0.7273, 0.7575)  4 Cu 2.54-2.67, 2 Au 2.72-2.74, 2 Pd 2.74-2.75
Pd (0.7802, 0.5227, 0.4236)  4 Cu 2.54-2.67, 2 Au 2.72-2.74, 2 Pd 2.74-2.75
Pd (0.9698, 0.8934, 0.2425)  4 Cu 2.54-2.67, 2 Au 2.72-2.74, 2 Pd 2.74-2.75
Au (0.2500, 0.7500, 0.5000)  8 Pd 2.72-2.74
Au (0.5000, 0.5000, 0.0000)  8 Pd 2.72-2.74


(6)
The following is a PBE calculation of a geometry-optimized YIn2Au9 structure, from the Alexandria database.

SG   No. 166
ΔH_f (0 K)   -19 kJ/mol of atoms

abc: 9.8669 9.8669 9.8669
angles: 32.79 32.79 32.79
With the nearest neighbours (Å) after each atom.
Fractional coordinates of all 12 atoms:
Y (0.0000, 0.0000, 0.0000)  6 Au 3.22
In (0.1427, 0.1427, 0.1427)  12 Au 3.23-3.37, 3 In 3.48
In (0.8573, 0.8573, 0.8573)  12 Au 3.23-3.37, 3 In 3.48
Au (0.0816, 0.5858, 0.5858)  7 Au 2.76-2.87
Au (0.3330, 0.3330, 0.3330)  6 Au 2.84-2.87
Au (0.4142, 0.4142, 0.9184)  7 Au 2.76-2.87
Au (0.4142, 0.9184, 0.4142)  7 Au 2.76-2.87
Au (0.5000, 0.5000, 0.5000)  6 Au 2.82
Au (0.5858, 0.0816, 0.5858)  7 Au 2.76-2.87
Au (0.5858, 0.5858, 0.0816)  7 Au 2.76-2.87
Au (0.6670, 0.6670, 0.6670)  6 Au 2.84-2.87
Au (0.9184, 0.4142, 0.4142)  7 Au 2.76-2.87


(7)
The following is a PBE calculation of a geometry-optimized Na4CaPb15 structure, from the Alexandria database.

SG   No. 123
ΔH_f (0 K)   -15 kJ/mol of atoms

abc: 5.0000 5.0000 24.0389
angles: 90.00 90.00 90.00
With the nearest neighbours (Å) after each atom.
Fractional coordinates of all 20 atoms:
Na (0.0000, 0.0000, 0.1002)  12 Pb 3.46-3.54
Na (0.0000, 0.0000, 0.3009)  12 Pb 3.44-3.54
Na (0.0000, 0.0000, 0.6991)  12 Pb 3.44-3.54
Na (0.0000, 0.0000, 0.8998)  12 Pb 3.46-3.54
Ca (0.0000, 0.0000, 0.5000)  12 Pb 3.48-3.54
Pb (0.0000, 0.5000, 0.0000)  8 Pb 3.46-3.54, 4 Na 3.47
Pb (0.0000, 0.5000, 0.1999)  8 Pb 3.45-3.54, 4 Na 3.46-3.48
Pb (0.0000, 0.5000, 0.3992)  2 Na 3.44, 8 Pb 3.47-3.54, 2 Ca 3.48
Pb (0.0000, 0.5000, 0.6008)  2 Na 3.44, 8 Pb 3.47-3.54, 2 Ca 3.48
Pb (0.0000, 0.5000, 0.8001)  8 Pb 3.45-3.54, 4 Na 3.46-3.48
Pb (0.5000, 0.0000, 0.0000)  8 Pb 3.46-3.54, 4 Na 3.47
Pb (0.5000, 0.0000, 0.1999)  8 Pb 3.45-3.54, 4 Na 3.46-3.48
Pb (0.5000, 0.0000, 0.3992)  2 Na 3.44, 8 Pb 3.47-3.54, 2 Ca 3.48
Pb (0.5000, 0.0000, 0.6008)  2 Na 3.44, 8 Pb 3.47-3.54, 2 Ca 3.48
Pb (0.5000, 0.0000, 0.8001)  8 Pb 3.45-3.54, 4 Na 3.46-3.48
Pb (0.5000, 0.5000, 0.0996)  8 Pb 3.46-3.47, 4 Na 3.54
Pb (0.5000, 0.5000, 0.2990)  8 Pb 3.45-3.47, 4 Na 3.54
Pb (0.5000, 0.5000, 0.5000)  8 Pb 3.48, 4 Ca 3.54
Pb (0.5000, 0.5000, 0.7010)  8 Pb 3.45-3.47, 4 Na 3.54
Pb (0.5000, 0.5000, 0.9004)  8 Pb 3.46-3.47, 4 Na 3.54


(8)
The following is a PBE calculation of a geometry-optimized Ba5Y4 structure, from the Alexandria database.

SG   No. 193
E above lowest polymorph   74 meV/atom
ΔH_f (0 K)   27 kJ/mol of atoms

abc: 11.1209 11.1209 7.4971
angles: 90.00 90.00 120.00
With the nearest neighbours (Å) after each atom.
Fractional coordinates of all 18 atoms:
Ba (0.0000, 0.3596, 0.2500)  4 Y 3.60-3.88, 4 Ba 4.03
Ba (0.0000, 0.6404, 0.7500)  4 Y 3.60-3.88, 4 Ba 4.03
Ba (0.3333, 0.6667, 0.0000)  8 Ba 3.75-4.03
Ba (0.3333, 0.6667, 0.5000)  8 Ba 3.75-4.03
Ba (0.3596, 0.0000, 0.2500)  4 Y 3.60-3.88, 4 Ba 4.03
Ba (0.3596, 0.3596, 0.7500)  4 Y 3.60-3.88, 4 Ba 4.03
Ba (0.6404, 0.0000, 0.7500)  4 Y 3.60-3.88, 4 Ba 4.03
Ba (0.6404, 0.6404, 0.2500)  4 Y 3.60-3.88, 4 Ba 4.03
Ba (0.6667, 0.3333, 0.0000)  8 Ba 3.75-4.03
Ba (0.6667, 0.3333, 0.5000)  8 Ba 3.75-4.03
Y (0.0000, 0.0000, 0.0000)  8 Y 3.54-3.75
Y (0.0000, 0.0000, 0.5000)  8 Y 3.54-3.75
Y (0.0000, 0.2698, 0.7500)  2 Y 3.54, 4 Ba 3.60-3.88
Y (0.0000, 0.7302, 0.2500)  2 Y 3.54, 4 Ba 3.60-3.88
Y (0.2698, 0.0000, 0.7500)  2 Y 3.54, 4 Ba 3.60-3.88
Y (0.2698, 0.2698, 0.2500)  2 Y 3.54, 4 Ba 3.60-3.88
Y (0.7302, 0.0000, 0.2500)  2 Y 3.54, 4 Ba 3.60-3.88
Y (0.7302, 0.7302, 0.7500)  2 Y 3.54, 4 Ba 3.60-3.88